(1)
HoErMn4, optimized geometry, DFT PBE; symmetry = F-43m (216); ΔH_f (0 K) = 10.0 kJ per mole of atoms
1.0
5.080 0.000 0.000
2.540 4.399 0.000
2.540 1.466 4.148
Mn Ho Er
4 1 1
Cartesian
6.350 3.666 2.593
5.080 2.933 0.518
3.810 3.666 2.593
5.080 1.466 2.593
2.540 1.466 1.037
0.000 0.000 0.000

=====

(2)
NpGaNiIr, optimized geometry, DFT PBE; symmetry = F-43m (216); ΔH_f (0 K) = -20.8 kJ per mole of atoms
1.0
4.560 0.000 0.000
2.280 3.949 0.000
2.280 1.316 3.723
Ga Np Ir Ni
1 1 1 1
Cartesian
4.560 2.632 1.861
0.000 0.000 0.000
6.839 3.949 2.792
2.280 1.316 0.931

=====

(3)
RbAc2Al, optimized geometry, DFT PBE; symmetry = R-3m (166); ΔH_f (0 K) = 14.5 kJ per mole of atoms
1.0
-2.869 0.467 -2.875
-3.654 -1.777 0.450
-6.629 10.289 5.380
Al Ac Rb
1 2 1
Cartesian
-6.576 4.489 1.478
-7.990 2.223 -0.387
-5.162 6.756 3.342
0.000 0.000 0.000

=====

(4)
Sm2TmBr, optimized geometry, DFT PBE; symmetry = R-3m (166)
1.0
3.668 0.000 0.000
1.834 3.176 0.000
1.834 1.059 10.426
Br Tm Sm
1 1 2
Cartesian
0.000 0.000 0.000
3.668 2.118 5.213
1.834 1.059 2.390
5.502 3.176 8.036

=====

Number 1: electronic total energy -7.533 eV/atom. Number 2: electronic total energy -7.868 eV/atom. Number 3: electronic total energy -3.081 eV/atom. Number 4: electronic total energy -4.427 eV/atom.